No. 1
VASP calculation (PBE) on a geometry-optimized Ca3Ge2Rh6 structure.

abc: 8.144 8.144 8.144
angles: 109.47 109.47 109.47
Fractional coordinates of all 22 atoms:
Rh1 0.321 0.321 0.641
Ca1 0.297 0.000 0.297
Ca2 0.000 0.703 0.703
Ca3 0.703 0.000 0.703
Rh2 0.321 0.000 0.679
Rh3 0.679 0.359 0.679
Rh4 0.000 0.321 0.679
Ge1 0.000 0.500 0.000
Ge2 0.500 0.000 0.000
Rh5 0.679 0.000 0.321
Ge3 0.000 0.000 0.500
Ge4 0.500 0.500 0.500
Rh6 0.321 0.679 0.000
Rh7 0.321 0.641 0.321
Rh8 0.679 0.321 0.000
Rh9 0.679 0.679 0.359
Rh10 0.000 0.679 0.321
Rh11 0.359 0.679 0.679
Ca4 0.000 0.297 0.297
Rh12 0.641 0.321 0.321
Ca5 0.297 0.297 0.000
Ca6 0.703 0.703 0.000

- E_form (eV/atom) = -0.496



No. 2
VASP calculation (PBE) on a geometry-optimized Tm3Ga5 structure.

abc: 6.042 9.608 11.305
angles: 90.00 90.00 90.00
Fractional coordinates of all 32 atoms:
Ga1 0.627 0.250 0.994
Ga2 0.373 0.750 0.006
Ga3 0.105 0.250 0.201
Ga4 0.626 0.052 0.591
Tm1 0.153 0.250 0.927
Ga5 0.395 0.250 0.701
Tm2 0.109 0.490 0.648
Ga6 0.374 0.948 0.409
Ga7 0.626 0.448 0.591
Tm3 0.653 0.750 0.573
Tm4 0.847 0.750 0.073
Tm5 0.891 0.990 0.352
Ga8 0.327 0.750 0.751
Tm6 0.891 0.510 0.352
Tm7 0.609 0.510 0.852
Tm8 0.109 0.010 0.648
Tm9 0.609 0.990 0.852
Ga9 0.673 0.250 0.249
Tm10 0.391 0.490 0.148
Ga10 0.874 0.448 0.091
Ga11 0.374 0.552 0.409
Tm11 0.347 0.250 0.427
Ga12 0.173 0.750 0.251
Ga13 0.126 0.948 0.909
Ga14 0.126 0.552 0.909
Ga15 0.874 0.052 0.091
Ga16 0.873 0.250 0.494
Tm12 0.391 0.010 0.148
Ga17 0.895 0.750 0.799
Ga18 0.827 0.250 0.749
Ga19 0.127 0.750 0.506
Ga20 0.605 0.750 0.299

- E_form (eV/atom) = -0.631



No. 3
VASP calculation (PBE) on a geometry-optimized Zr2TaGeH structure.

abc: 4.547 4.547 3.858
angles: 90.00 90.00 90.00
Fractional coordinates of all 5 atoms:
H1 0.000 0.000 0.000
Zr1 0.000 0.500 0.000
Ge1 0.500 0.500 0.500
Ta1 0.000 0.000 0.500
Zr2 0.500 0.000 0.000

- E (Ry/atom) = -0.5672



No. 4
VASP calculation (PBE) on a geometry-optimized Dy2Al6FeRu structure.

abc: 6.476 6.476 6.480
angles: 59.97 59.97 89.96
Fractional coordinates of all 10 atoms:
Al1 0.243 0.243 0.513
Ru1 0.500 0.500 0.000
Dy1 0.250 0.750 0.500
Al2 0.757 0.757 0.487
Fe1 0.000 0.000 0.000
Al3 0.757 0.757 0.000
Dy2 0.750 0.250 0.500
Al4 0.243 0.757 0.000
Al5 0.243 0.243 0.000
Al6 0.757 0.243 0.000

- E_form (eV/atom) = -0.331



No. 5
VASP calculation (PBE) on a geometry-optimized KCd17In structure.

abc: 7.823 7.823 7.823
angles: 83.29 83.29 83.29
Fractional coordinates of all 19 atoms:
Cd1 0.114 0.114 0.114
Cd2 0.909 0.909 0.909
Cd3 0.350 0.871 0.350
Cd4 0.702 0.293 0.001
Cd5 0.871 0.350 0.350
Cd6 0.979 0.523 0.979
Cd7 0.293 0.001 0.702
Cd8 0.624 0.624 0.186
K1 0.659 0.659 0.659
Cd9 0.350 0.350 0.871
In1 0.340 0.340 0.340
Cd10 0.523 0.979 0.979
Cd11 0.293 0.702 0.001
Cd12 0.702 0.001 0.293
Cd13 0.186 0.624 0.624
Cd14 0.624 0.186 0.624
Cd15 0.001 0.702 0.293
Cd16 0.001 0.293 0.702
Cd17 0.979 0.979 0.523

- E_form (eV/atom) = -0.005



No. 6
VASP calculation (PBE) on a geometry-optimized TiNbB structure.

abc: 3.142 3.142 4.638
angles: 109.80 109.80 90.00
Fractional coordinates of all 3 atoms:
B1 0.619 0.619 0.238
Nb1 0.264 0.264 0.528
Ti1 0.967 0.967 0.934

- E_form (eV/atom) = -0.037



No. 7
VASP calculation (PBE) on a geometry-optimized La5Tl6Ag structure.

abc: 5.436 7.926 9.770
angles: 113.83 105.97 90.07
Fractional coordinates of all 12 atoms:
Tl1 0.162 0.911 0.323
Tl2 0.499 0.260 0.000
La1 0.646 0.145 0.291
Tl3 0.838 0.089 0.677
Tl4 0.501 0.740 0.000
Tl5 0.162 0.412 0.323
La2 0.679 0.678 0.357
La3 0.354 0.855 0.709
La4 0.000 0.500 0.000
La5 0.321 0.322 0.643
Tl6 0.838 0.588 0.677
Ag1 0.000 0.000 0.000

- E_form (eV/atom) = -0.337



No. 8
VASP calculation (PBE) on a geometry-optimized NbHgN2O structure.

abc: 4.189 4.189 3.961
angles: 90.00 90.00 90.00
Each line ends with the local moment (μB).
Fractional coordinates of all 5 atoms:
Hg1 0.500 0.500 0.500  -0.02
N1 0.000 0.500 0.000  0.14
Nb1 0.000 0.000 0.000  -0.07
N2 0.500 0.000 0.000  0.14
O1 0.000 0.000 0.500  0.10

- E (Ry/atom) = -0.4704



No. 9
VASP calculation (PBE) on a geometry-optimized BaCu3F structure.

abc: 5.777 5.777 5.777
angles: 90.00 90.00 90.00
Each line ends with the local moment (μB).
Fractional coordinates of all 5 atoms:
Ba1 0.000 0.000 0.000  0.07
F1 0.500 0.500 0.500  0.10
Cu1 0.500 0.000 0.000  0.07
Cu2 0.000 0.500 0.000  0.08
Cu3 0.000 0.000 0.500  0.04

- E (Ry/atom) = -0.1518



No. 10
VASP calculation (PBE) on a geometry-optimized Sm2ThSc structure.

abc: 3.555 3.555 11.529
angles: 81.13 81.13 60.00
Fractional coordinates of all 4 atoms:
Sm1 0.248 0.248 0.256
Sm2 0.085 0.085 0.744
Th1 0.667 0.667 0.000
Sc1 0.500 0.500 0.499

- E_form (eV/atom) = 0.056



No. 11
VASP calculation (PBE) on a geometry-optimized KLaPuO6 structure.

abc: 4.992 5.961 5.961
angles: 120.00 90.00 90.00
Each line ends with the local moment (μB).
Fractional coordinates of all 9 atoms:
Pu1 0.500 0.000 0.000  -0.12
O1 0.271 0.254 0.289  0.01
O2 0.271 0.035 0.746  0.01
O3 0.729 0.035 0.289  0.01
La1 0.000 0.333 0.667  0.00
K1 0.500 0.667 0.333  0.00
O4 0.729 0.711 0.746  0.01
O5 0.729 0.254 0.965  0.01
O6 0.271 0.711 0.965  0.01

- E (Ry/atom) = -0.5807



No. 12
VASP calculation (PBE) on a geometry-optimized V2Ir3Rh8 structure.

abc: 3.863 7.660 7.660
angles: 63.90 89.96 89.96
Fractional coordinates of all 13 atoms:
Rh1 0.500 0.896 0.386
V1 0.499 0.267 0.267
Ir1 0.000 0.228 0.772
Rh2 0.000 0.615 0.615
Rh3 0.000 0.154 0.154
Ir2 0.000 0.772 0.228
V2 0.501 0.733 0.733
Rh4 0.500 0.614 0.104
Rh5 0.000 0.846 0.846
Rh6 0.000 0.385 0.385
Rh7 0.500 0.104 0.614
Ir3 0.500 0.000 0.000
Rh8 0.500 0.386 0.896

- E_form (eV/atom) = 0.116